GdTmMgGe | PBE | relaxed

Unit cell a=5.1281 b=5.1281 c=5.1281 alpha=60.00 beta=60.00 gamma=60.00
Last column: nearest neighbours and their distance in Å.
Fractional coordinates of all 4 atoms:
Tm1 0.0000 0.0000 0.0000  4 Mg 3.14, 4 Ge 3.14
Mg1 0.7500 0.7500 0.7500  4 Gd 3.14, 4 Tm 3.14
Ge1 0.2500 0.2500 0.2500  4 Tm 3.14, 4 Gd 3.14
Gd1 0.5000 0.5000 0.5000  4 Ge 3.14, 4 Mg 3.14

## Properties
Its final energy is -0.24025 Ha/atom. The value obtained for the density of states at the Fermi level is 0.87 states/eV/atom. As for the mass density: 7.4 g/cm³.